CsSc5Cl12 | PBE | relaxed

Its total moment is 1.89 Bohr magnetons per cell. The calculation puts the formation energy without anion corrections at -1837 meV per atom. The value obtained for the total DFT energy (no corrections) is -175.46 eV for the cell shown.

The structure belongs to space group Immm (No. 71); the cell edges are 9.5205, 9.7839 and 10.0921 Å and the angles 90.00°, 90.00° and 90.00°. The inequivalent atoms are Cs at (0.0000, 0.0000, 0.0000), Sc at (0.0000, 0.0000, 0.5000), Sc at (0.0000, 0.3505, 0.5000), Sc at (0.0000, 0.5000, 0.1382), Cl at (0.0000, 0.1744, 0.3168), Cl at (0.1662, 0.3405, 0.0000) and Cl at (0.1665, 0.5000, 0.3434).



Pm5NdAu4 | PBE | relaxed

Its total moment is 0.00 Bohr magnetons per cell. Its formation energy is -14.34 kcal/mol of atoms. The value obtained for the total DFT energy (no corrections) is -47.85 eV for the cell shown.

The structure belongs to space group P4/mmm (No. 123); the cell edges are 3.6876, 3.6876 and 19.9899 Å and the angles 90.00°, 90.00° and 90.00°. The inequivalent atoms are Pm at (0.0000, 0.0000, 0.0000), Pm at (0.0000, 0.0000, 0.1859), Pm at (0.0000, 0.0000, 0.3692), Nd at (0.5000, 0.5000, 0.5000), Au at (0.5000, 0.5000, 0.0931) and Au at (0.5000, 0.5000, 0.2796).



LiMg2Zr | PBE | relaxed

Its total moment is 0.00 Bohr magnetons per cell. Its formation energy is 2.15 kcal/mol of atoms. The value obtained for the total DFT energy (no corrections) is -13.28 eV for the cell shown.

The structure belongs to space group Pm (No. 6); the cell edges are 2.8990, 4.8387 and 6.2494 Å and the angles 90.00°, 103.35° and 90.00°. The inequivalent atoms are Li at (0.0000, 0.0000, 0.0000), Mg at (0.6502, 0.0000, 0.4974), Mg at (0.9649, 0.5000, 0.2366) and Zr at (0.3007, 0.5000, 0.7527).



TlRh2W | PBE | relaxed

Its total moment is 0.00 Bohr magnetons per cell. Its energy above the lowest structure with this stoichiometry is 382.7 meV/atom. Its formation energy is 8.50 kcal/mol of atoms. The value obtained for the total DFT energy (no corrections) is -28.55 eV for the cell shown.

The structure belongs to space group P4mm (No. 99); the cell edges are 3.4060, 3.4060 and 5.9167 Å and the angles 90.00°, 90.00° and 90.00°. The inequivalent atoms are Tl at (0.0000, 0.0000, 0.0000), Rh at (0.0000, 0.0000, 0.4928), Rh at (0.5000, 0.5000, 0.7583) and W at (0.5000, 0.5000, 0.3257).



CaGd2Hg | PBE | relaxed

Its total moment is 46.54 Bohr magnetons per cell. Its energy above the lowest structure with this stoichiometry is 190.5 meV/atom. Its formation energy is 0.11 kcal/mol of atoms. The value obtained for the total DFT energy (no corrections) is -91.34 eV for the cell shown.

The structure belongs to space group R-3m (No. 166, hexagonal axes); the cell edges are 3.6222, 3.6222 and 35.1148 Å and the angles 90.00°, 90.00° and 120.00°. The inequivalent atoms are Ca at (0.0000, 0.0000, 0.0000), Gd at (0.0000, 0.0000, 0.0982) and Hg at (0.0000, 0.0000, 0.5000).



SrCaCr2Hg | PBE | relaxed

Its total moment is 9.14 Bohr magnetons per cell. Its energy above the lowest structure with this stoichiometry is 0.0 meV/atom. Its formation energy is 15.45 kcal/mol of atoms. The value obtained for the total DFT energy (no corrections) is -19.88 eV for the cell shown.

The structure belongs to space group P4/mmm (No. 123); the cell edges are 5.4031, 5.4031 and 5.5989 Å and the angles 90.00°, 90.00° and 90.00°. The inequivalent atoms are Sr at (0.0000, 0.0000, 0.0000), Ca at (0.5000, 0.5000, 0.0000), Cr at (0.0000, 0.5000, 0.5000) and Hg at (0.5000, 0.5000, 0.5000).



KIClO2 | PBE | relaxed

Its total moment is 3.22 Bohr magnetons per cell. Its energy above the lowest structure with this stoichiometry is 246.8 meV/atom. The calculation puts the formation energy without anion corrections at 629 meV per atom. The value obtained for the total DFT energy (no corrections) is -11.27 eV for the cell shown.

The structure belongs to space group P4/mmm (No. 123); the cell edges are 4.7720, 4.7720 and 7.6801 Å and the angles 90.00°, 90.00° and 90.00°. The inequivalent atoms are K at (0.0000, 0.0000, 0.0000), I at (0.0000, 0.0000, 0.5000), Cl at (0.5000, 0.5000, 0.5000) and O at (0.0000, 0.5000, 0.0000).



YReAgF2 | PBE | relaxed

Its total moment is 2.97 Bohr magnetons per cell. The calculation puts the formation energy without anion corrections at 172 meV per atom. The value obtained for the total DFT energy (no corrections) is -24.64 eV for the cell shown.

The structure belongs to space group P4/mmm (No. 123); the cell edges are 4.2471, 4.2471 and 6.1348 Å and the angles 90.00°, 90.00° and 90.00°. The inequivalent atoms are Y at (0.0000, 0.0000, 0.0000), Re at (0.5000, 0.5000, 0.0000), Ag at (0.0000, 0.0000, 0.5000) and F at (0.0000, 0.5000, 0.5000).